one.
# LuFeRh2 | Alexandria | PBE-GGA | relaxed
# - V: 16.04 Å³ per atom
# - Size of the total moment: 4.28 μB per formula unit
data_LuFeRh2
_cell_length_a 4.3666
_cell_length_b 4.3666
_cell_length_c 3.3653
_cell_angle_alpha 90.00
_cell_angle_beta 90.00
_cell_angle_gamma 90.00
_space_group_name_H-M_alt 'P 1'
_space_group_IT_number 1
loop_
_space_group_symop_operation_xyz
'x,y,z'
loop_
_atom_site_label
_atom_site_fract_x
_atom_site_fract_y
_atom_site_fract_z
Lu1 0.0000 0.0000 0.0000
Fe1 0.5000 0.5000 0.0000
Rh1 0.0000 0.5000 0.5000
Rh2 0.5000 0.0000 0.5000


two.
# LuFeRh2 | Alexandria | PBE-GGA | relaxed
# - V: 16.15 Å³ per atom
# - Size of the total moment: 4.10 μB per formula unit
data_LuFeRh2
_cell_length_a 3.2153
_cell_length_b 3.2153
_cell_length_c 6.2486
_cell_angle_alpha 90.00
_cell_angle_beta 90.00
_cell_angle_gamma 90.00
_space_group_name_H-M_alt 'P 1'
_space_group_IT_number 1
loop_
_space_group_symop_operation_xyz
'x,y,z'
loop_
_atom_site_label
_atom_site_fract_x
_atom_site_fract_y
_atom_site_fract_z
Lu1 0.0000 0.0000 0.0000
Fe1 0.0000 0.0000 0.5000
Rh1 0.5000 0.5000 0.2760
Rh2 0.5000 0.5000 0.7240


We find one to be the most stable, with the next structure 2.2 kJ/mol of atoms higher.


one.
# LuTiFe2 | Alexandria | PBE-GGA | relaxed
# - V: 14.81 Å³ per atom
# - Size of the total moment: 0.30 μB per formula unit
data_LuTiFe2
_cell_length_a 4.3758
_cell_length_b 4.3758
_cell_length_c 4.3758
_cell_angle_alpha 60.00
_cell_angle_beta 60.00
_cell_angle_gamma 60.00
_space_group_name_H-M_alt 'P 1'
_space_group_IT_number 1
loop_
_space_group_symop_operation_xyz
'x,y,z'
loop_
_atom_site_label
_atom_site_fract_x
_atom_site_fract_y
_atom_site_fract_z
Lu1 0.0000 0.0000 0.0000
Ti1 0.5000 0.5000 0.5000
Fe1 0.2500 0.2500 0.2500
Fe2 0.7500 0.7500 0.7500


two.
# LuTiFe2 | Alexandria | PBE-GGA | relaxed
# - V: 14.97 Å³ per atom
# - Size of the total moment: 0.50 μB per formula unit
data_LuTiFe2
_cell_length_a 3.0848
_cell_length_b 3.0848
_cell_length_c 6.2935
_cell_angle_alpha 90.00
_cell_angle_beta 90.00
_cell_angle_gamma 90.00
_space_group_name_H-M_alt 'P 1'
_space_group_IT_number 1
loop_
_space_group_symop_operation_xyz
'x,y,z'
loop_
_atom_site_label
_atom_site_fract_x
_atom_site_fract_y
_atom_site_fract_z
Lu1 0.0000 0.0000 0.0000
Ti1 0.0000 0.0000 0.5000
Fe1 0.5000 0.5000 0.2836
Fe2 0.5000 0.5000 0.7164


We find two to be the most stable, with the next structure 5.2 kJ/mol of atoms higher.


one.
# LuZr2Fe | Alexandria | PBE-GGA | relaxed
# - V: 21.08 Å³ per atom
# - Size of the total moment: 2.11 μB per formula unit
data_LuZr2Fe
_cell_length_a 3.2538
_cell_length_b 3.2538
_cell_length_c 7.9636
_cell_angle_alpha 90.00
_cell_angle_beta 90.00
_cell_angle_gamma 90.00
_space_group_name_H-M_alt 'P 1'
_space_group_IT_number 1
loop_
_space_group_symop_operation_xyz
'x,y,z'
loop_
_atom_site_label
_atom_site_fract_x
_atom_site_fract_y
_atom_site_fract_z
Lu1 0.0000 0.0000 0.0000
Zr1 0.5000 0.5000 0.3058
Zr2 0.5000 0.5000 0.6942
Fe1 0.0000 0.0000 0.5000


two.
# LuZr2Fe | Alexandria | PBE-GGA | relaxed
# - V: 22.64 Å³ per atom
# - Size of the total moment: 0.09 μB per formula unit
data_LuZr2Fe
_cell_length_a 10.0206
_cell_length_b 10.0206
_cell_length_c 10.0206
_cell_angle_alpha 18.72
_cell_angle_beta 18.72
_cell_angle_gamma 18.72
_space_group_name_H-M_alt 'P 1'
_space_group_IT_number 1
loop_
_space_group_symop_operation_xyz
'x,y,z'
loop_
_atom_site_label
_atom_site_fract_x
_atom_site_fract_y
_atom_site_fract_z
Lu1 0.0000 0.0000 0.0000
Zr1 0.1075 0.1075 0.1075
Zr2 0.8925 0.8925 0.8925
Fe1 0.5000 0.5000 0.5000


We find one to be the most stable, with the next structure 26.5 kJ/mol of atoms higher.


one.
# Mg5Fe | Alexandria | PBE-GGA | relaxed
# - V: 21.26 Å³ per atom
# - Size of the total moment: 2.75 μB per formula unit
data_Mg5Fe
_cell_length_a 5.6505
_cell_length_b 5.6505
_cell_length_c 5.6505
_cell_angle_alpha 60.00
_cell_angle_beta 60.00
_cell_angle_gamma 60.00
_space_group_name_H-M_alt 'P 1'
_space_group_IT_number 1
loop_
_space_group_symop_operation_xyz
'x,y,z'
loop_
_atom_site_label
_atom_site_fract_x
_atom_site_fract_y
_atom_site_fract_z
Mg1 0.0000 0.0000 0.0000
Mg2 0.1267 0.6244 0.6244
Mg3 0.6244 0.1267 0.6244
Mg4 0.6244 0.6244 0.1267
Mg5 0.6244 0.6244 0.6244
Fe1 0.2500 0.2500 0.2500


two.
# Mg5Fe | Alexandria | PBE-GGA | relaxed
# - V: 19.92 Å³ per atom
# - Size of the total moment: 1.97 μB per formula unit
data_Mg5Fe
_cell_length_a 5.6412
_cell_length_b 5.6412
_cell_length_c 7.4746
_cell_angle_alpha 109.89
_cell_angle_beta 109.89
_cell_angle_gamma 32.51
_space_group_name_H-M_alt 'P 1'
_space_group_IT_number 1
loop_
_space_group_symop_operation_xyz
'x,y,z'
loop_
_atom_site_label
_atom_site_fract_x
_atom_site_fract_y
_atom_site_fract_z
Mg1 0.0000 0.0000 0.0000
Mg2 0.3351 0.3351 0.2020
Mg3 0.3554 0.3554 0.6428
Mg4 0.6446 0.6446 0.3572
Mg5 0.6649 0.6649 0.7980
Fe1 0.0000 0.0000 0.5000


We find two to be the most stable, with the next structure 25.5 kJ/mol of atoms higher.


one.
# Mg5Fe | Alexandria | PBE-GGA | relaxed
# - V: 19.83 Å³ per atom
# - Size of the total moment: 2.22 μB per formula unit
data_Mg5Fe
_cell_length_a 5.3235
_cell_length_b 5.3235
_cell_length_c 4.8484
_cell_angle_alpha 90.00
_cell_angle_beta 90.00
_cell_angle_gamma 120.00
_space_group_name_H-M_alt 'P 1'
_space_group_IT_number 1
loop_
_space_group_symop_operation_xyz
'x,y,z'
loop_
_atom_site_label
_atom_site_fract_x
_atom_site_fract_y
_atom_site_fract_z
Mg1 0.0000 0.6849 0.0000
Mg2 0.3151 0.3151 0.0000
Mg3 0.3333 0.6667 0.5000
Mg4 0.6667 0.3333 0.5000
Mg5 0.6849 0.0000 0.0000
Fe1 0.0000 0.0000 0.5000


two.
# Mg5Fe | Alexandria | PBE-GGA | relaxed
# - V: 19.96 Å³ per atom
# - Size of the total moment: 2.38 μB per formula unit
data_Mg5Fe
_cell_length_a 3.2849
_cell_length_b 3.2849
_cell_length_c 11.1014
_cell_angle_alpha 90.00
_cell_angle_beta 90.00
_cell_angle_gamma 90.00
_space_group_name_H-M_alt 'P 1'
_space_group_IT_number 1
loop_
_space_group_symop_operation_xyz
'x,y,z'
loop_
_atom_site_label
_atom_site_fract_x
_atom_site_fract_y
_atom_site_fract_z
Mg1 0.0000 0.0000 0.0000
Mg2 0.0000 0.0000 0.3686
Mg3 0.0000 0.0000 0.6314
Mg4 0.5000 0.5000 0.1873
Mg5 0.5000 0.5000 0.8127
Fe1 0.5000 0.5000 0.5000


We find two to be the most stable, with the next structure 5.9 kJ/mol of atoms higher.